Record 1
First-principles (PBE-GGA) data for a relaxed MoRh3I crystal, as listed in the Alexandria database.

abc: 4.7579 4.7579 4.7579
angles: 90.00 90.00 90.00
Atoms (fractional coordinates):
Rh 0.5000 0.0000 0.0000
Rh 0.0000 0.0000 0.5000
Rh 0.0000 0.5000 0.0000
Mo 0.0000 0.0000 0.0000
I 0.5000 0.5000 0.5000

As for the space-group type: Pm-3m, No. 221. As for the energy above the most stable polymorph in this dataset: 0 meV/atom.



Record 2
First-principles (PBE-GGA) data for a relaxed NdHf2Rh3 crystal, as listed in the Alexandria database.

abc: 3.2843 3.2843 10.6056
angles: 90.00 90.00 90.00
Atoms (fractional coordinates):
Rh 0.0000 0.0000 0.2922
Rh 0.0000 0.0000 0.7078
Rh 0.0000 0.0000 0.0000
Hf 0.5000 0.5000 0.1582
Hf 0.5000 0.5000 0.8418
Nd 0.5000 0.5000 0.5000

As for the space-group type: P4/mmm, No. 123. Its formation enthalpy at 0 K is -0.8327 eV/atom.



Record 3
First-principles (PBE-GGA) data for a relaxed Pa2NiOs3 crystal, as listed in the Alexandria database.

abc: 5.3984 5.3984 8.3157
angles: 90.00 90.00 120.00
Atoms (fractional coordinates):
Os 0.1688 0.8312 0.2500
Os 0.6624 0.8312 0.2500
Os 0.8312 0.6624 0.7500
Os 0.1688 0.3376 0.2500
Os 0.8312 0.1688 0.7500
Os 0.3376 0.1688 0.7500
Pa 0.6667 0.3333 0.4220
Pa 0.6667 0.3333 0.0780
Pa 0.3333 0.6667 0.9220
Pa 0.3333 0.6667 0.5780
Ni 0.0000 0.0000 0.5000
Ni 0.0000 0.0000 0.0000

As for the space-group type: P6_3/mmc, No. 194. Its formation enthalpy at 0 K is -0.2875 eV/atom.